Version w
This record from Alexandria via LeMat-Bulk describes an optimized crystal structure of AlGeI2O. The functional is GGA-PBE. Values from VASP.

```
&SYSTEM
  ibrav = 0, nat = 5, ntyp = 4
/
ATOMIC_SPECIES
Al 26.98 Al.upf
Ge 72.64 Ge.upf
I 126.90 I.upf
O 16.00 O.upf
CELL_PARAMETERS angstrom
5.801 0.000 0.000
0.000 5.801 0.000
0.000 0.000 3.509
ATOMIC_POSITIONS angstrom
Al 0.000 0.000 0.000
Ge 2.901 2.901 1.754
I 0.000 2.901 0.000
I 2.901 0.000 0.000
O 0.000 0.000 1.754
```

**Crystal system**: tetragonal



Version x
This record from Alexandria via LeMat-Bulk describes an optimized crystal structure of AlGeI2O. The functional is GGA-PBE. Values from VASP.

```
&SYSTEM
  ibrav = 0, nat = 5, ntyp = 4
/
ATOMIC_SPECIES
Al 26.98 Al.upf
Ge 72.64 Ge.upf
I 126.90 I.upf
O 16.00 O.upf
CELL_PARAMETERS angstrom
5.985 0.000 0.000
0.000 5.985 0.000
0.000 0.000 3.778
ATOMIC_POSITIONS angstrom
Al 0.000 0.000 0.000
Ge 2.993 2.993 1.889
I 0.000 2.993 1.889
I 2.993 0.000 1.889
O 2.993 2.993 0.000
```

**Crystal system**: tetragonal



Consider the structures shown above. The most stable of them is version w.